A geometry-optimized Na3Sm3MoO8 structure, computed with PBE with a Hubbard U.

Total energy ... -0.50086 Ry per atom
Magnetic moment ... 0.13 μB per atom

a b c (Å): 6.876 6.876 6.840
angles (deg): 119.30 119.30 60.16
Sites, in units of the cell vectors:
1 Na 0.000 0.000 0.000
2 Na 0.000 0.500 0.500
3 Na 0.500 0.000 0.500
4 Sm 0.000 0.500 0.000
5 Sm 0.500 0.000 0.000
6 Sm 0.500 0.500 0.500
7 Mo 0.000 0.000 0.500
8 O 0.214 0.768 0.284
9 O 0.222 0.222 0.741
10 O 0.232 0.786 0.716
11 O 0.263 0.263 0.241
12 O 0.737 0.737 0.759
13 O 0.768 0.214 0.284
14 O 0.778 0.778 0.259
15 O 0.786 0.232 0.716